An optimized crystal structure of Dy6Tl5Ga. Source: the Alexandria database, functional PBE.

Unit cell a=8.4544 b=8.4544 c=7.4339 alpha=90.00 beta=90.00 gamma=143.15
Last column: nearest neighbours and their distance in Å.
Positions (direct):
Dy: 0.0000 0.0000 0.2411  2 Ga 3.22, 6 Tl 3.26-3.32, 1 Dy 3.58
Dy: 0.0000 0.0000 0.7589  2 Ga 3.22, 6 Tl 3.26-3.32, 1 Dy 3.58
Dy: 0.3383 0.6617 0.2461  1 Ga 3.17, 7 Tl 3.21-3.31
Dy: 0.3383 0.6617 0.7539  1 Ga 3.17, 7 Tl 3.21-3.31
Dy: 0.6617 0.3383 0.2461  1 Ga 3.17, 7 Tl 3.21-3.31
Dy: 0.6617 0.3383 0.7539  1 Ga 3.17, 7 Tl 3.21-3.31
Tl: 0.1685 0.8315 0.5000  8 Dy 3.27-3.32
Tl: 0.1696 0.8304 0.0000  8 Dy 3.24-3.27
Tl: 0.5000 0.5000 0.5000  8 Dy 3.21-3.29
Tl: 0.8304 0.1696 0.0000  8 Dy 3.24-3.27
Tl: 0.8315 0.1685 0.5000  8 Dy 3.27-3.32
Ga: 0.5000 0.5000 0.0000  8 Dy 3.17-3.22

Computed properties:
- energy of formation from the pure elements (eV per atom) = -0.3686
- theoretical density (g cm⁻³) = 10.8
- total magnetization (μB per atom) = 0.0000
- relative energy among the computed polymorphs (eV/f.u.) = 0.00

An optimized crystal structure of Dy3Tl2Ga. Source: the Alexandria database, functional PBE.

Unit cell a=8.3876 b=8.3876 c=3.6614 alpha=90.00 beta=90.00 gamma=143.00
Last column: nearest neighbours and their distance in Å.
Positions (direct):
Dy: 0.0000 0.0000 0.0000  4 Ga 3.23, 4 Tl 3.29
Dy: 0.3442 0.6558 0.0000  2 Ga 3.08, 6 Tl 3.24-3.30
Dy: 0.6558 0.3442 0.0000  2 Ga 3.08, 6 Tl 3.24-3.30
Tl: 0.1719 0.8281 0.5000  8 Dy 3.24-3.30
Tl: 0.8281 0.1719 0.5000  8 Dy 3.24-3.30
Ga: 0.5000 0.5000 0.5000  8 Dy 3.08-3.23

Computed properties:
- energy of formation from the pure elements (eV per atom) = -0.4067
- theoretical density (g cm⁻³) = 10.3
- total magnetization (μB per atom) = 0.0000
- relative energy among the computed polymorphs (eV/f.u.) = 0.07

An optimized crystal structure of Dy4TlGa. Source: the Alexandria database, functional PBE.

Unit cell a=5.0546 b=5.0546 c=7.2066 alpha=90.00 beta=90.00 gamma=90.00
Last column: nearest neighbours and their distance in Å.
Positions (direct):
Dy: 0.0000 0.5000 0.2371  2 Ga 3.05, 2 Tl 3.16
Dy: 0.0000 0.5000 0.7629  2 Ga 3.05, 2 Tl 3.16
Dy: 0.5000 0.0000 0.2371  2 Ga 3.05, 2 Tl 3.16
Dy: 0.5000 0.0000 0.7629  2 Ga 3.05, 2 Tl 3.16
Tl: 0.0000 0.0000 0.5000  8 Dy 3.16
Ga: 0.5000 0.5000 0.0000  8 Dy 3.05

Computed properties:
- energy of formation from the pure elements (eV per atom) = -0.1422
- theoretical density (g cm⁻³) = 8.3
- total magnetization (μB per atom) = 0.0001

An optimized crystal structure of Dy5TlGa2. Source: the Alexandria database, functional PBE.

Unit cell a=9.0286 b=9.0286 c=9.0286 alpha=129.23 beta=129.23 gamma=74.64
Last column: nearest neighbours and their distance in Å.
Positions (direct):
Dy: 0.0000 0.0000 0.0000  4 Ga 3.06
Dy: 0.0228 0.5228 0.8331  3 Ga 3.07-3.08, 2 Tl 3.26
Dy: 0.1897 0.0228 0.5000  3 Ga 3.07-3.08, 2 Tl 3.26
Dy: 0.3103 0.8103 0.8331  3 Ga 3.07-3.08, 2 Tl 3.26
Dy: 0.4772 0.3103 0.5000  3 Ga 3.07-3.08, 2 Tl 3.26
Dy: 0.5000 0.5000 0.0000  4 Ga 3.06
Dy: 0.5228 0.6897 0.5000  3 Ga 3.07-3.08, 2 Tl 3.26
Dy: 0.6897 0.1897 0.1669  3 Ga 3.07-3.08, 2 Tl 3.26
Dy: 0.8103 0.9772 0.5000  3 Ga 3.07-3.08, 2 Tl 3.26
Dy: 0.9772 0.4772 0.1669  3 Ga 3.07-3.08, 2 Tl 3.26
Tl: 0.2500 0.2500 0.0000  10 Dy 3.26-3.59
Tl: 0.7500 0.7500 0.0000  10 Dy 3.26-3.59
Ga: 0.1247 0.3753 0.5000  1 Ga 2.73
Ga: 0.3753 0.8753 0.2507  1 Ga 2.73
Ga: 0.6247 0.1247 0.7493  1 Ga 2.73
Ga: 0.8753 0.6247 0.5000  1 Ga 2.73

Computed properties:
- energy of formation from the pure elements (eV per atom) = -0.4516
- theoretical density (g cm⁻³) = 8.9
- total magnetization (μB per atom) = 0.0000

An optimized crystal structure of DyTlGa. Source: the Alexandria database, functional PBE.

Unit cell a=8.2701 b=8.2701 c=3.9871 alpha=90.00 beta=90.00 gamma=147.01
Last column: nearest neighbours and their distance in Å.
Positions (direct):
Dy: 0.0872 0.9128 0.7500  6 Ga 3.12-3.27, 2 Tl 3.21, 2 Dy 3.41
Dy: 0.9128 0.0872 0.2500  6 Ga 3.12-3.27, 2 Tl 3.21, 2 Dy 3.41
Tl: 0.2751 0.7249 0.2500  4 Tl 3.18, 2 Dy 3.21, 2 Ga 3.33
Tl: 0.7249 0.2751 0.7500  4 Tl 3.18, 2 Dy 3.21, 2 Ga 3.33
Ga: 0.4433 0.5567 0.7500  2 Ga 2.68
Ga: 0.5567 0.4433 0.2500  2 Ga 2.68

Computed properties:
- energy of formation from the pure elements (eV per atom) = -0.3442
- theoretical density (g cm⁻³) = 9.8
- total magnetization (μB per atom) = 0.0000
- relative energy among the computed polymorphs (eV/f.u.) = 0.00

An optimized crystal structure of DyTlGa. Source: the Alexandria database, functional PBE.

Unit cell a=8.2210 b=8.2210 c=8.2210 alpha=156.80 beta=156.80 gamma=33.05
Last column: nearest neighbours and their distance in Å.
Positions (direct):
Dy: 0.0000 0.0000 0.0000  4 Ga 3.05, 1 Tl 3.14, 4 Dy 3.31
Tl: 0.1995 0.1995 0.0000  1 Ga 2.78
Ga: 0.3757 0.3757 0.0000  1 Tl 2.78, 4 Dy 3.05

Computed properties:
- energy of formation from the pure elements (eV per atom) = 0.0367
- theoretical density (g cm⁻³) = 8.4
- total magnetization (μB per atom) = 0.0263
- relative energy among the computed polymorphs (eV/f.u.) = 1.14

An optimized crystal structure of Dy12TlGa6. Source: the Alexandria database, functional PBE.

Unit cell a=8.7253 b=8.7253 c=8.7253 alpha=109.47 beta=109.47 gamma=109.47
Last column: nearest neighbours and their distance in Å.
Positions (direct):
Dy: 0.1042 0.8106 0.2936  3 Ga 2.81-3.08
Dy: 0.1894 0.2936 0.4830  3 Ga 2.81-3.08
Dy: 0.1894 0.7064 0.8958  3 Ga 2.81-3.08
Dy: 0.2936 0.1042 0.8106  3 Ga 2.81-3.08
Dy: 0.2936 0.4830 0.1894  3 Ga 2.81-3.08
Dy: 0.4830 0.1894 0.2936  3 Ga 2.81-3.08
Dy: 0.5170 0.8106 0.7064  3 Ga 2.81-3.08
Dy: 0.7064 0.5170 0.8106  3 Ga 2.81-3.08
Dy: 0.7064 0.8958 0.1894  3 Ga 2.81-3.08
Dy: 0.8106 0.2936 0.1042  3 Ga 2.81-3.08
Dy: 0.8106 0.7064 0.5170  3 Ga 2.81-3.08
Dy: 0.8958 0.1894 0.7064  3 Ga 2.81-3.08
Tl: 0.0000 0.0000 0.0000  12 Dy 3.52
Ga: 0.1224 0.6224 0.5000  1 Ga 2.47
Ga: 0.3776 0.5000 0.8776  1 Ga 2.47
Ga: 0.5000 0.1224 0.6224  1 Ga 2.47
Ga: 0.5000 0.8776 0.3776  1 Ga 2.47
Ga: 0.6224 0.5000 0.1224  1 Ga 2.47
Ga: 0.8776 0.3776 0.5000  1 Ga 2.47

Computed properties:
- energy of formation from the pure elements (eV per atom) = -0.3794
- theoretical density (g cm⁻³) = 8.4
- total magnetization (μB per atom) = 0.0000

An optimized crystal structure of Dy12Tl6Ga. Source: the Alexandria database, functional PBE.

Unit cell a=8.7865 b=8.7865 c=8.7865 alpha=99.65 beta=99.65 gamma=99.65
Last column: nearest neighbours and their distance in Å.
Positions (direct):
Dy: 0.0469 0.6820 0.9340  1 Ga 2.87, 2 Tl 3.07-3.09
Dy: 0.0660 0.9531 0.3180  1 Ga 2.87, 2 Tl 3.07-3.09
Dy: 0.1819 0.4297 0.5685  4 Tl 3.04-3.24
Dy: 0.3180 0.0660 0.9531  1 Ga 2.87, 2 Tl 3.07-3.09
Dy: 0.4297 0.5685 0.1819  4 Tl 3.04-3.24
Dy: 0.4315 0.8181 0.5703  4 Tl 3.04-3.24
Dy: 0.5685 0.1819 0.4297  4 Tl 3.04-3.24
Dy: 0.5703 0.4315 0.8181  4 Tl 3.04-3.24
Dy: 0.6820 0.9340 0.0469  1 Ga 2.87, 2 Tl 3.07-3.09
Dy: 0.8181 0.5703 0.4315  4 Tl 3.04-3.24
Dy: 0.9340 0.0469 0.6820  1 Ga 2.87, 2 Tl 3.07-3.09
Dy: 0.9531 0.3180 0.0660  1 Ga 2.87, 2 Tl 3.07-3.09
Tl: 0.1337 0.6179 0.3025  7 Dy 3.04-3.36
Tl: 0.3025 0.1337 0.6179  7 Dy 3.04-3.36
Tl: 0.3821 0.6975 0.8663  7 Dy 3.04-3.36
Tl: 0.6179 0.3025 0.1337  7 Dy 3.04-3.36
Tl: 0.6975 0.8663 0.3821  7 Dy 3.04-3.36
Tl: 0.8663 0.3821 0.6975  7 Dy 3.04-3.36
Ga: 0.0000 0.0000 0.0000  6 Dy 2.87

Computed properties:
- energy of formation from the pure elements (eV per atom) = -0.0156
- theoretical density (g cm⁻³) = 8.3
- total magnetization (μB per atom) = 0.0000

An optimized crystal structure of Dy4Tl3Ga. Source: the Alexandria database, functional PBE.

Unit cell a=4.2946 b=4.5160 c=11.3841 alpha=90.00 beta=90.00 gamma=90.00
Last column: nearest neighbours and their distance in Å.
Positions (direct):
Dy: 0.0000 0.0000 0.0000  1 Ga 3.03, 4 Tl 3.18
Dy: 0.0000 0.5000 0.4811  5 Tl 3.14-3.16, 2 Ga 3.33
Dy: 0.5000 0.0000 0.7159  7 Tl 3.15-3.46
Dy: 0.5000 0.5000 0.2197  3 Tl 3.11-3.34, 4 Ga 3.16
Tl: 0.0000 0.5000 0.7573  2 Tl 3.04, 5 Dy 3.14-3.15
Tl: 0.5000 0.0000 0.4360  2 Ga 2.89, 5 Dy 3.16-3.19
Tl: 0.5000 0.5000 0.9464  2 Tl 3.04, 5 Dy 3.11-3.18
Ga: 0.0000 0.0000 0.2662  2 Tl 2.89, 5 Dy 3.03-3.16

Computed properties:
- energy of formation from the pure elements (eV per atom) = -0.3695
- theoretical density (g cm⁻³) = 10.0
- total magnetization (μB per atom) = 0.0000
- relative energy among the computed polymorphs (eV/f.u.) = 0.25

An optimized crystal structure of Dy4Tl2Ga. Source: the Alexandria database, functional PBE.

Unit cell a=9.0363 b=9.0363 c=9.0363 alpha=33.53 beta=33.53 gamma=33.53
Last column: nearest neighbours and their distance in Å.
Positions (direct):
Dy: 0.1225 0.1225 0.1225  4 Tl 3.13, 1 Ga 3.13
Dy: 0.3742 0.3742 0.3742  3 Ga 3.19, 4 Tl 3.25-3.31
Dy: 0.6258 0.6258 0.6258  3 Ga 3.19, 4 Tl 3.25-3.31
Dy: 0.8775 0.8775 0.8775  4 Tl 3.13, 1 Ga 3.13
Tl: 0.2448 0.2448 0.2448  8 Dy 3.13-3.31
Tl: 0.7552 0.7552 0.7552  8 Dy 3.13-3.31
Ga: 0.0000 0.0000 0.0000  8 Dy 3.13-3.19

Computed properties:
- energy of formation from the pure elements (eV per atom) = -0.2562
- theoretical density (g cm⁻³) = 9.3
- total magnetization (μB per atom) = 0.0000
- relative energy among the computed polymorphs (eV/f.u.) = 0.00

An optimized crystal structure of DyTlGa. Source: the Alexandria database, functional PBE.

Unit cell a=4.6271 b=4.6271 c=3.9321 alpha=90.00 beta=90.00 gamma=120.00
Last column: nearest neighbours and their distance in Å.
Positions (direct):
Dy: 0.0000 0.0000 0.0000  3 Ga 3.02, 3 Tl 3.14
Tl: 0.3333 0.6667 0.4192  3 Ga 2.81, 3 Dy 3.14
Ga: 0.6667 0.3333 0.6421  3 Tl 2.81, 3 Dy 3.02

Computed properties:
- energy of formation from the pure elements (eV per atom) = -0.3330
- theoretical density (g cm⁻³) = 9.9
- total magnetization (μB per atom) = 0.0000
- relative energy among the computed polymorphs (eV/f.u.) = 0.03

An optimized crystal structure of Dy3TlGa. Source: the Alexandria database, functional PBE.

Unit cell a=6.3367 b=10.0172 c=8.7130 alpha=90.00 beta=90.00 gamma=90.00
Last column: nearest neighbours and their distance in Å.
Positions (direct):
Dy: 0.1219 0.0643 0.1814  2 Ga 2.94-2.95, 1 Tl 3.13
Dy: 0.1219 0.4357 0.1814  2 Ga 2.94-2.95, 1 Tl 3.13
Dy: 0.1773 0.7500 0.3678  2 Ga 2.98, 2 Tl 3.18-3.32
Dy: 0.3227 0.2500 0.8678  2 Ga 2.98, 2 Tl 3.18-3.32
Dy: 0.3781 0.5643 0.6814  2 Ga 2.94-2.95, 1 Tl 3.13
Dy: 0.3781 0.9357 0.6814  2 Ga 2.94-2.95, 1 Tl 3.13
Dy: 0.6219 0.0643 0.3186  2 Ga 2.94-2.95, 1 Tl 3.13
Dy: 0.6219 0.4357 0.3186  2 Ga 2.94-2.95, 1 Tl 3.13
Dy: 0.6773 0.7500 0.1322  2 Ga 2.98, 2 Tl 3.18-3.32
Dy: 0.8227 0.2500 0.6322  2 Ga 2.98, 2 Tl 3.18-3.32
Dy: 0.8781 0.5643 0.8186  2 Ga 2.94-2.95, 1 Tl 3.13
Dy: 0.8781 0.9357 0.8186  2 Ga 2.94-2.95, 1 Tl 3.13
Tl: 0.1840 0.7500 0.0032  5 Dy 3.13-3.40, 2 Ga 3.21
Tl: 0.3160 0.2500 0.5032  5 Dy 3.13-3.40, 2 Ga 3.21
Tl: 0.6840 0.7500 0.4968  5 Dy 3.13-3.40, 2 Ga 3.21
Tl: 0.8160 0.2500 0.9968  5 Dy 3.13-3.40, 2 Ga 3.21
Ga: 0.0000 0.0000 0.5000  6 Dy 2.94-2.98, 2 Tl 3.21
Ga: 0.0000 0.5000 0.5000  6 Dy 2.94-2.98, 2 Tl 3.21
Ga: 0.5000 0.0000 0.0000  6 Dy 2.94-2.98, 2 Tl 3.21
Ga: 0.5000 0.5000 0.0000  6 Dy 2.94-2.98, 2 Tl 3.21

Computed properties:
- energy of formation from the pure elements (eV per atom) = -0.2842
- theoretical density (g cm⁻³) = 9.1
- total magnetization (μB per atom) = 0.0000

Which of these has the highest energy of formation from the pure elements?
number 6

Look up the total magnetization of the eighth one.
0.0000 μB per atom

Which formula does entry 2 have?
Dy3Tl2Ga